[1]
Crystalline Sm5Pb3 at its relaxed geometry, computed with PBE-GGA.

Geometry as POSCAR:
```
Sm5Pb3
1.0
-4.214 4.214 7.072
4.214 -4.214 7.072
4.214 4.214 -7.072
Sm Pb
10 6
Direct
0.000 0.000 0.000
0.007 0.507 0.816
0.191 0.007 0.500
0.309 0.809 0.816
0.493 0.309 0.500
0.500 0.500 0.000
0.507 0.691 0.500
0.691 0.191 0.184
0.809 0.993 0.500
0.993 0.493 0.184
0.143 0.357 0.500
0.250 0.250 0.000
0.357 0.857 0.214
0.643 0.143 0.786
0.750 0.750 0.000
0.857 0.643 0.500
```

Computed properties:
Calculated formation energy (eV per atom): -0.483
Calculated volume (Å³ per atom): 31.40
Energy above the most stable polymorph in this dataset (eV/f.u.): 0.52
SG: No. 140



[2]
Crystalline Sm3Pb2 at its relaxed geometry, computed with PBE-GGA.

Geometry as POSCAR:
```
Sm3Pb2
1.0
5.403 0.000 0.000
-2.702 4.679 0.000
0.000 0.000 6.656
Sm Pb
3 2
Direct
0.000 0.000 0.000
0.333 0.667 0.311
0.667 0.333 0.689
0.333 0.667 0.793
0.667 0.333 0.207
```

Computed properties:
Calculated formation energy (eV per atom): -0.386
Calculated volume (Å³ per atom): 33.65
Energy above the most stable polymorph in this dataset (eV/f.u.): 0.19
SG: No. 164